Entry 1:
VASP calculation (PBE-GGA) on a relaxed PmGa8Rh4 crystal. Values from VASP.

Structure (Quantum ESPRESSO input):
```
&SYSTEM
  ibrav = 0, nat = 13, ntyp = 3
/
ATOMIC_SPECIES
Pm 145.00 Pm.upf
Ga 69.72 Ga.upf
Rh 102.91 Rh.upf
CELL_PARAMETERS angstrom
5.5532 0.0000 0.0000
2.7766 6.1757 0.0000
2.7766 0.0000 6.1757
ATOMIC_POSITIONS crystal
Pm 0.0000 0.0000 0.0000
Ga 0.2771 0.2229 0.2229
Rh 0.5000 0.5000 0.0000
Rh 0.0000 0.0000 0.5000
Ga 0.0000 0.6530 0.3470
Ga 0.5000 0.7771 0.2229
Rh 0.0000 0.5000 0.0000
Ga 0.5000 0.2229 0.7771
Ga 0.7229 0.7771 0.7771
Ga 0.0000 0.3470 0.6530
Ga 0.3470 0.6530 0.6530
Rh 0.5000 0.0000 0.5000
Ga 0.6530 0.3470 0.3470
```

## Properties
Density of states at the Fermi level, states/eV per cell: 5.87
ΔH_f (0 K), eV per atom: -0.596
Calculated density, g cm⁻³: 8.7
Total moment, μB per atom: 0.00
E, eV per atom: -5.086

---

Entry 2:
VASP calculation (PBE-GGA) on a relaxed BaH2BrO crystal. Values from VASP.

Structure (Quantum ESPRESSO input):
```
&SYSTEM
  ibrav = 0, nat = 10, ntyp = 4
/
ATOMIC_SPECIES
Ba 137.33 Ba.upf
H 1.01 H.upf
O 16.00 O.upf
Br 79.90 Br.upf
CELL_PARAMETERS angstrom
4.2141 0.0000 0.0000
-2.1071 6.4577 0.0000
0.0000 0.0000 6.5338
ATOMIC_POSITIONS crystal
Ba 0.3995 0.7991 0.7500
H 0.0447 0.0893 0.8297
H 0.9553 0.9107 0.1703
H 0.0447 0.0893 0.6703
H 0.9553 0.9107 0.3297
O 0.0000 0.0000 0.0000
Ba 0.6005 0.2009 0.2500
O 0.0000 0.0000 0.5000
Br 0.2958 0.5915 0.2500
Br 0.7042 0.4085 0.7500
```

## Properties
Density of states at the Fermi level, states/eV per cell: 1.18
Calculated density, g cm⁻³: 4.4
Total moment, μB per atom: 0.05
E, eV per atom: -4.198

---

Entry 3:
VASP calculation (PBE-GGA) on a relaxed Tm3Te3S crystal. Values from VASP.

Structure (Quantum ESPRESSO input):
```
&SYSTEM
  ibrav = 0, nat = 14, ntyp = 3
/
ATOMIC_SPECIES
Tm 168.93 Tm.upf
S 32.06 S.upf
Te 127.60 Te.upf
CELL_PARAMETERS angstrom
-1.6934 -5.0561 2.8948
7.7242 -4.4963 -3.3347
0.4121 4.6311 8.3297
ATOMIC_POSITIONS crystal
Tm 0.7500 0.6470 0.8232
S 0.7500 0.3331 0.6669
Tm 0.7500 0.1763 0.8243
Tm 0.2500 0.3530 0.1768
Te 0.7500 0.3672 0.1840
S 0.2500 0.6669 0.3331
Te 0.7500 0.8167 0.6328
Tm 0.2500 0.8238 0.6470
Te 0.7500 0.8166 0.1828
Te 0.2500 0.1833 0.3672
Te 0.2500 0.6328 0.8160
Te 0.2500 0.1834 0.8172
Tm 0.7500 0.1762 0.3530
Tm 0.2500 0.8237 0.1757
```

## Properties
Density of states at the Fermi level, states/eV per cell: 5.40
Calculated density, g cm⁻³: 6.4
Formation energy without anion corrections, eV per atom: -1.311
Total moment, μB per atom: 0.00
E, eV per atom: -5.163

---

Entry 4:
VASP calculation (PBE-GGA) on a relaxed Ba7SrAu3 crystal. Values from VASP.

Structure (Quantum ESPRESSO input):
```
&SYSTEM
  ibrav = 0, nat = 11, ntyp = 3
/
ATOMIC_SPECIES
Au 196.97 Au.upf
Ba 137.33 Ba.upf
Sr 87.62 Sr.upf
CELL_PARAMETERS angstrom
8.3234 0.0000 4.4242
4.1710 8.1445 2.1945
0.6031 -0.0017 8.9070
ATOMIC_POSITIONS crystal
Au 0.5724 0.7505 0.6105
Ba 0.2768 0.0847 0.8498
Sr 0.7908 0.5856 0.8328
Ba 0.2789 0.5924 0.8498
Ba 0.8632 0.4231 0.3607
Ba 0.3531 0.4231 0.3607
Ba 0.3560 0.9180 0.3700
Ba 0.8604 0.9129 0.3663
Au 0.0675 0.2572 0.6078
Au 0.0666 0.7505 0.6105
Ba 0.7887 0.0847 0.8498
```

## Properties
Density of states at the Fermi level, states/eV per cell: 9.14
ΔH_f (0 K), eV per atom: -0.422
Calculated density, g cm⁻³: 4.7
Total moment, μB per atom: 0.00
E, eV per atom: -2.692
Offset from the most stable computed form, eV/f.u.: 0.00

---

Entry 5:
VASP calculation (PBE-GGA) on a relaxed TiOsPb crystal. Values from VASP.

Structure (Quantum ESPRESSO input):
```
&SYSTEM
  ibrav = 0, nat = 6, ntyp = 3
/
ATOMIC_SPECIES
Ti 47.87 Ti.upf
Os 190.23 Os.upf
Pb 207.20 Pb.upf
CELL_PARAMETERS angstrom
-1.2726 2.6886 0.9277
-3.3181 -1.7274 0.4544
3.1605 -3.5435 9.6068
ATOMIC_POSITIONS crystal
Ti 0.7857 0.2500 0.5752
Os 0.3276 0.7500 0.6644
Pb 0.9200 0.2500 0.8632
Pb 0.0800 0.7500 0.1368
Os 0.6724 0.2500 0.3356
Ti 0.2143 0.7500 0.4248
```

## Properties
Density of states at the Fermi level, states/eV per cell: 3.49
ΔH_f (0 K), eV per atom: -0.041
Calculated density, g cm⁻³: 11.9
Total moment, μB per atom: 0.00
E, eV per atom: -7.652
Offset from the most stable computed form, eV/f.u.: 0.08

---

Entry 6:
VASP calculation (PBE-GGA) on a relaxed SmDy3Ho2 crystal. Values from VASP.

Structure (Quantum ESPRESSO input):
```
&SYSTEM
  ibrav = 0, nat = 12, ntyp = 3
/
ATOMIC_SPECIES
Dy 162.50 Dy.upf
Sm 150.36 Sm.upf
Ho 164.93 Ho.upf
CELL_PARAMETERS angstrom
6.9140 -1.1436 -1.4579
-4.0924 9.2873 -0.3821
-2.1487 0.7098 6.7813
ATOMIC_POSITIONS crystal
Dy 0.7496 0.9998 0.2498
Dy 0.2504 0.0002 0.7502
Dy 0.1956 0.3346 0.6391
Sm 0.7494 0.9996 0.7498
Ho 0.3040 0.6656 0.8607
Ho 0.6960 0.3344 0.1393
Dy 0.8037 0.6646 0.8606
Ho 0.3036 0.6648 0.3604
Sm 0.2506 0.0004 0.2502
Dy 0.8044 0.6654 0.3609
Ho 0.6964 0.3352 0.6396
Dy 0.1963 0.3354 0.1394
```

## Properties
Density of states at the Fermi level, states/eV per cell: 14.91
ΔH_f (0 K), eV per atom: -0.003
Calculated density, g cm⁻³: 8.5
Total moment, μB per atom: 0.00
E, eV per atom: -4.617

---

Entry 7:
VASP calculation (PBE-GGA) on a relaxed SrHfCd crystal. Values from VASP.

Structure (Quantum ESPRESSO input):
```
&SYSTEM
  ibrav = 0, nat = 6, ntyp = 3
/
ATOMIC_SPECIES
Cd 112.41 Cd.upf
Hf 178.49 Hf.upf
Sr 87.62 Sr.upf
CELL_PARAMETERS angstrom
-7.6286 1.7189 -3.6354
-2.3625 -4.6259 3.2949
-1.1011 1.3937 2.9961
ATOMIC_POSITIONS crystal
Cd 0.3867 0.3748 0.3252
Hf 0.6920 0.1392 0.4439
Sr 0.0356 0.3834 0.8212
Cd 0.8904 0.8333 0.0990
Sr 0.3376 0.9071 0.0556
Hf 0.6492 0.5657 0.7311
```

## Properties
Density of states at the Fermi level, states/eV per cell: 7.59
ΔH_f (0 K), eV per atom: 0.162
Calculated density, g cm⁻³: 7.1
Total moment, μB per atom: 0.00
E, eV per atom: -4.022
Offset from the most stable computed form, eV/f.u.: 0.15

---

Entry 8:
VASP calculation (PBE-GGA) on a relaxed V4AsC2 crystal. Values from VASP.

Structure (Quantum ESPRESSO input):
```
&SYSTEM
  ibrav = 0, nat = 28, ntyp = 3
/
ATOMIC_SPECIES
C 12.01 C.upf
V 50.94 V.upf
As 74.92 As.upf
CELL_PARAMETERS angstrom
-1.9762 1.9730 -1.1199
-7.0944 -5.5652 2.7147
-0.3461 5.2571 9.8727
ATOMIC_POSITIONS crystal
C 0.7500 0.5507 0.6092
C 0.2500 0.4148 0.9033
V 0.7500 0.5866 0.4305
As 0.7500 0.2341 0.6755
V 0.7500 0.8842 0.4766
V 0.2500 0.9134 0.9305
As 0.2500 0.7659 0.3245
V 0.7500 0.4660 0.7846
V 0.2500 0.1972 0.8663
V 0.7500 0.9660 0.7154
V 0.7500 0.3028 0.3663
V 0.7500 0.3842 0.0234
As 0.7500 0.7341 0.8245
V 0.2500 0.5340 0.2154
C 0.2500 0.4493 0.3908
V 0.2500 0.1158 0.5234
V 0.2500 0.0340 0.2846
C 0.7500 0.0852 0.4033
As 0.2500 0.2659 0.1755
V 0.2500 0.6972 0.6337
V 0.7500 0.8028 0.1337
C 0.7500 0.0507 0.8908
C 0.7500 0.5852 0.0967
V 0.2500 0.4134 0.5695
C 0.2500 0.9493 0.1092
V 0.2500 0.6158 0.9766
C 0.2500 0.9148 0.5967
V 0.7500 0.0866 0.0695
```

## Properties
Density of states at the Fermi level, states/eV per cell: 16.58
ΔH_f (0 K), eV per atom: -0.518
Calculated density, g cm⁻³: 6.3
Total moment, μB per atom: 0.00
E, eV per atom: -9.028
Offset from the most stable computed form, eV/f.u.: 0.00

---

Entry 9:
VASP calculation (PBE-GGA) on a relaxed LuMnMo crystal. Values from VASP.

Structure (Quantum ESPRESSO input):
```
&SYSTEM
  ibrav = 0, nat = 3, ntyp = 3
/
ATOMIC_SPECIES
Mo 95.94 Mo.upf
Lu 174.97 Lu.upf
Mn 54.94 Mn.upf
CELL_PARAMETERS angstrom
-0.7316 -3.0359 -0.0459
1.2109 -0.2484 -2.8681
4.4225 0.4875 3.5254
ATOMIC_POSITIONS crystal
Mo 0.3075 0.3075 0.6150
Lu 0.0044 0.0044 0.0089
Mn 0.6880 0.6880 0.3761
```

## Properties
Density of states at the Fermi level, states/eV per cell: 2.33
ΔH_f (0 K), eV per atom: 0.154
Calculated density, g cm⁻³: 10.6
Total moment, μB per atom: 0.00
E, eV per atom: -8.020

---

Entry 10:
VASP calculation (PBE-GGA) on a relaxed Nd6PbBr8 crystal. Values from VASP.

Structure (Quantum ESPRESSO input):
```
&SYSTEM
  ibrav = 0, nat = 15, ntyp = 3
/
ATOMIC_SPECIES
Br 79.90 Br.upf
Pb 207.20 Pb.upf
Nd 144.24 Nd.upf
CELL_PARAMETERS angstrom
6.9341 0.0000 2.2779
3.0929 6.2061 2.2779
-0.0583 -0.0361 11.8706
ATOMIC_POSITIONS crystal
Br 0.1092 0.7882 0.6735
Pb 0.0000 0.0000 0.0000
Br 0.5708 0.8908 0.3265
Br 0.4292 0.1092 0.6735
Nd 0.5983 0.2944 0.1602
Br 0.7882 0.4292 0.6735
Nd 0.4017 0.7056 0.8398
Br 0.3335 0.3335 0.9996
Nd 0.7056 0.0529 0.8398
Nd 0.9471 0.5983 0.1602
Nd 0.0529 0.4017 0.8398
Br 0.6665 0.6665 0.0004
Nd 0.2944 0.9471 0.1602
Br 0.2118 0.5708 0.3265
Br 0.8908 0.2118 0.3265
```

## Properties
Density of states at the Fermi level, states/eV per cell: 4.33
Calculated density, g cm⁻³: 5.6
Formation energy without anion corrections, eV per atom: -1.374
Total moment, μB per atom: 0.00
E, eV per atom: -4.420

---

Entry 11:
VASP calculation (PBE-GGA) on a relaxed YHo2Tm crystal. Values from VASP.

Structure (Quantum ESPRESSO input):
```
&SYSTEM
  ibrav = 0, nat = 4, ntyp = 3
/
ATOMIC_SPECIES
Ho 164.93 Ho.upf
Y 88.91 Y.upf
Tm 168.93 Tm.upf
CELL_PARAMETERS angstrom
4.9909 0.0000 0.0000
0.0000 4.9900 0.0000
0.0000 0.0000 4.9900
ATOMIC_POSITIONS crystal
Ho 0.0000 0.0000 0.5000
Y 0.5000 0.0000 0.0000
Tm 0.5000 0.5000 0.5000
Ho 0.0000 0.5000 0.0000
```

## Properties
Density of states at the Fermi level, states/eV per cell: 5.89
ΔH_f (0 K), eV per atom: 0.026
Calculated density, g cm⁻³: 7.9
Total moment, μB per atom: 0.00
E, eV per atom: -4.997
Offset from the most stable computed form, eV/f.u.: 0.05

---

Entry 12:
VASP calculation (PBE-GGA) on a relaxed Zn3NCl crystal. Values from VASP.

Structure (Quantum ESPRESSO input):
```
&SYSTEM
  ibrav = 0, nat = 5, ntyp = 3
/
ATOMIC_SPECIES
Cl 35.45 Cl.upf
Zn 65.41 Zn.upf
N 14.01 N.upf
CELL_PARAMETERS angstrom
-2.7593 -3.8650 -0.8461
2.6678 -2.5792 3.0819
-2.9218 1.2950 3.6130
ATOMIC_POSITIONS crystal
Cl 0.0000 0.0000 0.0000
Zn 0.5000 0.0000 0.0000
N 0.5000 0.5000 0.5000
Zn 0.0000 0.0000 0.5000
Zn 0.0000 0.5000 0.0000
```

## Properties
Density of states at the Fermi level, states/eV per cell: 1.99
Calculated density, g cm⁻³: 3.6
Formation energy without anion corrections, eV per atom: 1.614
Total moment, μB per atom: 0.00
E, eV per atom: -1.185
Offset from the most stable computed form, eV/f.u.: 6.95

---

> total moment of number 12 (Zn3NCl)?

0.00 μB per atom

---

> Number 7 is which compound?

SrHfCd